LaTb2Sn6Pb | OQMD via LeMat-Bulk | PBE-GGA | optimized geometry; E = -47.5 eV/cell; space group = Cmmm, No. 65
1.0
0.639 8.428 9.804
-4.182 -9.877 -7.246
2.844 -2.892 2.301
Sn Tb Pb La
6 2 1 1
Direct
0.291 0.709 0.500
0.599 0.401 0.000
0.900 0.100 0.500
0.401 0.599 0.000
0.100 0.900 0.500
0.709 0.291 0.500
0.188 0.812 0.000
0.812 0.188 0.000
0.500 0.500 0.500
0.000 0.000 0.000